[1]
# CdCo2Si

A geometry-optimized CdCo2Si structure (PBE, the Alexandria database).

Geometry as POSCAR:
```
CdCo2Si
1.0
-0.897 -1.116 -3.838
2.677 0.305 -0.714
2.181 -4.559 0.816
Cd Co Si
1 2 1
Direct
0.500 0.689 0.747
0.000 0.034 0.056
0.500 0.432 0.260
0.000 0.345 0.437
```

## Properties
Relative energy among the computed polymorphs ... 1.51 eV per formula unit
D(E_F) ... 1.0546 states/eV/atom
Theoretical density ... 7.6 g/cm³

[2]
# Ce8Hg2Os

A geometry-optimized Ce8Hg2Os structure (PBE, the Alexandria database).

Geometry as POSCAR:
```
Ce8Hg2Os
1.0
5.209 0.000 0.000
0.000 6.594 0.103
-2.605 -2.652 8.429
Ce Hg Os
8 2 1
Direct
0.411 0.586 0.821
0.657 0.948 0.313
0.789 0.800 0.578
0.000 0.225 0.000
0.211 0.200 0.422
0.343 0.052 0.687
0.589 0.414 0.179
0.000 0.775 0.000
0.826 0.339 0.652
0.174 0.661 0.348
0.500 0.000 0.000
```

## Properties
D(E_F) ... 2.8167 states/eV/atom
Formation enthalpy at 0 K ... -1.3 eV per formula unit
Theoretical density ... 9.8 g/cm³

[3]
# Ba3SrPt8

A geometry-optimized Ba3SrPt8 structure (PBE, the Alexandria database).

Geometry as POSCAR:
```
Ba3SrPt8
1.0
-5.320 -0.480 1.920
-2.083 -5.107 1.343
0.571 -0.819 9.769
Ba Sr Pt
3 1 8
Direct
0.375 0.375 0.875
0.000 0.000 0.001
0.500 0.500 0.500
0.875 0.875 0.375
0.935 0.437 0.192
0.441 0.938 0.683
0.437 0.437 0.192
0.938 0.938 0.683
0.188 0.188 0.436
0.687 0.687 0.938
0.437 0.935 0.192
0.938 0.441 0.683
```

## Properties
D(E_F) ... 0.4510 states/eV/atom
Formation enthalpy at 0 K ... -9.2 eV per formula unit
Theoretical density ... 13.2 g/cm³

[4]
# LaPm4Mg3

A geometry-optimized LaPm4Mg3 structure (PBE, the Alexandria database).

Geometry as POSCAR:
```
LaPm4Mg3
1.0
-2.749 -2.374 -1.203
1.388 -2.755 2.264
-9.971 5.229 12.473
Mg Pm La
3 4 1
Direct
0.500 0.500 0.268
0.500 0.500 0.500
0.500 0.500 0.732
0.000 0.000 0.849
0.000 0.000 0.151
0.000 0.000 0.385
0.000 0.000 0.615
0.500 0.500 0.000
```

## Properties
D(E_F) ... 1.2970 states/eV/atom
Formation enthalpy at 0 K ... -0.6 eV per formula unit
Theoretical density ... 5.3 g/cm³

Q: Which of these has the lowest theoretical density?
A: LaPm4Mg3